Below is a relaxed Mg2TaP crystal, with properties calculated at the PBE level. Values from VASP.

Quantum ESPRESSO input file:
```
&SYSTEM
  ibrav = 0, nat = 4, ntyp = 3
/
ATOMIC_SPECIES
Mg 24.30 Mg.upf
P 30.97 P.upf
Ta 180.95 Ta.upf
ATOMIC_POSITIONS crystal
Mg 0.008 0.008 0.000
Mg 0.716 0.216 0.500
P 0.485 0.485 0.000
Ta 0.291 0.791 0.500
CELL_PARAMETERS angstrom
5.479 0.002 -0.004
2.475 4.888 0.004
-3.498 -3.223 2.719
```

Results
Space group: Imm2 (44)
Formation enthalpy at 0 K in kJ/mol of formula units: 2
M_tot in μB/atom: 0.000

Below is a relaxed BiRhSe2 crystal, with properties calculated at the PBE level. Values from VASP.

Quantum ESPRESSO input file:
```
&SYSTEM
  ibrav = 0, nat = 8, ntyp = 3
/
ATOMIC_SPECIES
Rh 102.91 Rh.upf
Bi 208.98 Bi.upf
Se 78.96 Se.upf
ATOMIC_POSITIONS crystal
Rh 0.307 0.693 0.250
Rh 0.693 0.307 0.750
Bi 0.046 0.954 0.250
Bi 0.954 0.046 0.750
Se 0.217 0.783 0.250
Se 0.783 0.217 0.750
Se 0.875 0.125 0.250
Se 0.125 0.875 0.750
CELL_PARAMETERS angstrom
-12.243 0.595 -7.264
10.854 -3.393 8.584
-1.602 2.152 2.876
```

Results
Uncorrected formation energy in eV per atom: -0.064
Space group: Cmcm (63)
M_tot in μB/atom: 0.000

Number 1 is which compound? Mg2TaP